Below is a geometry-optimized WAuN2 structure, with properties calculated at the GGA-PBEsol level.

Cell: 2.9384 2.9384 19.4672 Å, 90.00 90.00 120.00°
Last column: nearest neighbours and their distance in Å.
Space group R-3m (No. 166, hexagonal axes)
Inequivalent atoms, fractional coordinates:
1 W 0.0000 0.0000 0.0000 x3  6 N 2.07
2 Au 0.0000 0.0000 0.5000 x3  2 N 2.06
3 N 0.0000 0.0000 0.3942 x6  1 Au 2.06, 3 W 2.07

Summary:
Formation energy without anion corrections   -114.7 meV per atom
Relative energy among the computed polymorphs   0 meV/atom
Energy   -8.81 eV/atom
Magnetization   0.0 μB/cell
D(E_F)   3.49 states/eV/cell